# 1
Density functional theory data (PBE-GGA) for crystalline Y3InN at its relaxed geometry.

The structure in POSCAR format:
```
Y3InN
1.0
-2.0265 0.7187 2.8624
-9.9085 -2.7409 -4.0880
3.5349 -5.3736 1.6137
In Y N
2 6 2
direct
0.7254 0.2134 0.9465
0.6483 0.9704 0.5495
0.1049 0.7350 0.2274
0.9972 0.2201 0.4967
0.8350 0.6840 0.6364
0.2880 0.4410 0.2992
0.3747 0.9729 0.0048
0.5371 0.4852 0.8417
0.9230 0.4449 0.5732
0.6821 0.5915 0.2381
```

## Properties
symmetry: Cm
final energy: -6.91 eV/atom
ΔE_f (raw): -0.821 eV per atom

=====

# 2
Density functional theory data (PBE-GGA) for crystalline LiPm2Ho3Se6 at its relaxed geometry.

The structure in POSCAR format:
```
LiPm2Ho3Se6
1.0
-3.6471 -3.4863 -4.9873
-1.8608 -0.5650 6.8226
-2.2251 6.6021 -1.2966
Pm Li Ho Se
2 1 3 6
direct
0.6656 0.3344 0.0000
0.3344 0.6656 0.0000
0.0000 0.0000 0.0000
0.5000 0.5000 0.5000
0.8314 0.1686 0.5000
0.1686 0.8314 0.5000
0.4047 0.0843 0.2542
0.7658 0.7658 0.2528
0.9157 0.5953 0.7458
0.5953 0.9157 0.7458
0.0843 0.4047 0.2542
0.2342 0.2342 0.7472
```

## Properties
symmetry: C2/m
final energy: -5.60 eV/atom
ΔE_f (raw): -1.759 eV per atom

=====

# 3
Density functional theory data (PBE-GGA) for crystalline MgZnBrCl2 at its relaxed geometry.

The structure in POSCAR format:
```
MgZnBrCl2
1.0
-2.8741 -2.0047 3.2318
4.5173 -1.3070 3.2066
-0.3873 4.1841 2.2510
Cl Mg Zn Br
2 1 1 1
direct
0.5000 0.0000 0.0000
0.0000 0.0000 0.5000
0.0000 0.0000 0.0000
0.5000 0.5000 0.5000
0.0000 0.5000 0.0000
```

## Properties
symmetry: P4/mmm
final energy: -2.55 eV/atom
ΔE_f (raw): -0.902 eV per atom